Below is an optimized crystal structure of PmTaFe2O6, with properties calculated at the GGA+U level.

Values from the calculation:
**Calculated volume**: 127.7 Å³/f.u.
**Symmetry**: No. 1
**DFT total energy**: -8.180 eV per atom

a b c (Å): 5.469 5.488 5.820
angles (deg): 61.97 62.44 60.30
Element x y z (fractional)
Pm 0.000 0.000 0.000
Ta 0.485 0.496 0.530
Fe 0.279 0.296 0.150
Fe 0.784 0.791 0.645
O 0.102 0.420 0.830
O 0.211 0.865 0.352
O 0.420 0.673 0.810
O 0.552 0.241 0.341
O 0.663 0.108 0.811
O 0.851 0.578 0.349